1.
The following is a PBE calculation of a geometry-optimized BaCuIrO5 structure, from Alexandria via LeMat-Bulk.

Unit cell a=5.9625 b=5.9625 c=7.3918 alpha=103.05 beta=103.05 gamma=108.46
With the nearest neighbours (Å) after each atom.
Fractional coordinates of all 16 atoms:
Ba  0.3381  0.6619  0.2500  7 O 2.63-2.80
Ba  0.6619  0.3381  0.7500  7 O 2.63-2.80
Cu  0.6941  0.3059  0.2500  4 O 1.90-1.99
Cu  0.3059  0.6941  0.7500  4 O 1.90-1.99
Ir  0.0000  0.0000  0.5000  6 O 1.94-1.95
Ir  0.0000  0.0000  0.0000  6 O 1.94-1.95
O  0.0641  0.9359  0.2500  2 Ir 1.95
O  0.9359  0.0641  0.7500  2 Ir 1.95
O  0.9065  0.2784  0.0962  1 Cu 1.90, 1 Ir 1.95
O  0.0935  0.7216  0.9038  1 Cu 1.90, 1 Ir 1.95
O  0.7216  0.0935  0.4038  1 Cu 1.90, 1 Ir 1.95
O  0.2784  0.9065  0.5962  1 Cu 1.90, 1 Ir 1.95
O  0.7766  0.6512  0.4178  1 Ir 1.94, 1 Cu 1.99
O  0.2234  0.3488  0.5822  1 Ir 1.94, 1 Cu 1.99
O  0.3488  0.2234  0.0822  1 Ir 1.94, 1 Cu 1.99
O  0.6512  0.7766  0.9178  1 Ir 1.94, 1 Cu 1.99

Output
Space-group type: C2/c
Formation energy from raw total energies (eV/f.u.): -9.6

***

2.
The following is a PBE calculation of a geometry-optimized BaCuIr2Rh structure, from Alexandria via LeMat-Bulk.

Unit cell a=4.7569 b=5.8432 c=4.7569 alpha=90.00 beta=90.00 gamma=90.00
With the nearest neighbours (Å) after each atom.
Fractional coordinates of all 5 atoms:
Ir  0.0000  0.0000  0.5000  2 Rh 2.38
Ir  0.5000  0.0000  0.0000  2 Rh 2.38
Rh  0.0000  0.0000  0.0000  4 Ir 2.38
Ba  0.0000  0.5000  0.0000  2 Rh 2.92
Cu  0.5000  0.5000  0.5000  4 Ba 3.36

Output
Space-group type: P4/mmm
Formation energy (eV per atom): 1.2569

***

3.
The following is a PBE calculation of a geometry-optimized BaCuIrRh structure, from Alexandria via LeMat-Bulk.

Unit cell a=4.4106 b=4.4017 c=6.1142 alpha=111.25 beta=90.00 gamma=120.07
With the nearest neighbours (Å) after each atom.
Fractional coordinates of all 4 atoms:
Ba  0.6189  0.2379  0.5004  1 Cu 3.08, 1 Rh 3.10
Cu  0.8043  0.6086  0.0546  3 Ir 2.58-2.59, 3 Rh 2.61-2.62
Ir  0.1084  0.2168  0.9697  3 Rh 2.54-2.56, 3 Cu 2.58-2.59
Rh  0.4346  0.8693  0.9427  3 Ir 2.54-2.56, 3 Cu 2.61-2.62

Output
Space-group type: Cm
Formation energy (eV per atom): -0.1058

***

4.
The following is a PBE calculation of a geometry-optimized Ba2ScCuIr structure, from Alexandria via LeMat-Bulk.

Unit cell a=6.0464 b=4.8441 c=6.0464 alpha=90.00 beta=90.00 gamma=90.00
With the nearest neighbours (Å) after each atom.
Fractional coordinates of all 5 atoms:
Sc  0.5000  0.5000  0.5000  8 Ba 3.87, 4 Cu 4.28
Ir  0.0000  0.0000  0.0000  2 Cu 2.42
Ba  0.0000  0.0000  0.5000  2 Ir 3.02
Ba  0.5000  0.0000  0.0000  2 Ir 3.02
Cu  0.0000  0.5000  0.0000  2 Ir 2.42

Output
Space-group type: P4/mmm
Formation energy (eV per atom): 0.5202